The following is a GGA-PBEsol calculation of a relaxed Mn5Al crystal, from Alexandria via LeMat-Bulk.

It has space group C2/m (No. 12), with a = 8.929 Å, b = 2.793 Å, c = 5.521 Å, α = 90.00°, β = 107.86° and γ = 90.00°. The inequivalent atoms are Mn at (0.000, 0.000, 0.000), Mn at (0.174, 0.500, 0.334), Mn at (0.175, 0.500, 0.841) and Al at (0.000, 0.000, 0.500).

The density of states at the Fermi level comes out at 7.6 states/eV/f.u. The energy above the lowest structure with this stoichiometry comes out at 0.000 eV per formula unit. The calculation puts the formation energy at -33 meV/atom. As for the calculated total energy: -8.849 eV per atom. The volume comes out at 131.1 Å³ per cell.

---

The following is a GGA-PBEsol calculation of a relaxed MnAl2 crystal, from Alexandria via LeMat-Bulk.

It has space group Cmcm (No. 63), with a = 3.171 Å, b = 12.426 Å, c = 3.952 Å, α = 90.00°, β = 90.00° and γ = 90.00°. The inequivalent atoms are Mn at (0.000, 0.097, 0.250), Al at (0.000, 0.250, 0.750) and Al at (0.000, 0.433, 0.250).

The density of states at the Fermi level comes out at 1.7 states/eV/f.u. The calculation puts the formation energy at -189 meV/atom. As for the calculated total energy: -6.171 eV per atom. The volume comes out at 155.7 Å³ per cell.

---

The following is a GGA-PBEsol calculation of a relaxed MnAl2 crystal, from Alexandria via LeMat-Bulk.

It has space group P4/mmm (No. 123), with a = 4.201 Å, b = 4.201 Å, c = 2.646 Å, α = 90.00°, β = 90.00° and γ = 90.00°. The inequivalent atoms are Mn at (0.000, 0.000, 0.000) and Al at (0.000, 0.500, 0.500).

The density of states at the Fermi level comes out at 1.7 states/eV/f.u. The calculation puts the formation energy at -150 meV/atom. As for the calculated total energy: -6.132 eV per atom. The volume comes out at 46.7 Å³ per cell.

---

The following is a GGA-PBEsol calculation of a relaxed MnAl2 crystal, from Alexandria via LeMat-Bulk.

It has space group I4/mcm (No. 140), with a = 5.933 Å, b = 5.933 Å, c = 5.066 Å, α = 90.00°, β = 90.00° and γ = 90.00°. The inequivalent atoms are Mn at (0.000, 0.000, 0.250) and Al at (0.209, 0.291, 0.000).

The density of states at the Fermi level comes out at 1.7 states/eV/f.u. The calculation puts the formation energy at -148 meV/atom. As for the calculated total energy: -6.130 eV per atom. The volume comes out at 178.3 Å³ per cell.

---

The following is a GGA-PBEsol calculation of a relaxed Mn3Al crystal, from Alexandria via LeMat-Bulk.

It has space group Pmmm (No. 47), with a = 2.626 Å, b = 3.372 Å, c = 5.290 Å, α = 90.00°, β = 90.00° and γ = 90.00°. The inequivalent atoms are Mn at (0.000, 0.000, 0.000), Mn at (0.500, 0.500, 0.239) and Al at (0.000, 0.000, 0.500).

The density of states at the Fermi level comes out at 3.2 states/eV/f.u. The calculation puts the formation energy at -38 meV/atom. As for the calculated total energy: -8.382 eV per atom. The volume comes out at 46.8 Å³ per cell.

---

The following is a GGA-PBEsol calculation of a relaxed MnAl2 crystal, from Alexandria via LeMat-Bulk.

It has space group Pnma (No. 62), with a = 4.943 Å, b = 4.018 Å, c = 7.853 Å, α = 90.00°, β = 90.00° and γ = 90.00°. The inequivalent atoms are Mn at (0.154, 0.250, 0.131), Al at (0.111, 0.250, 0.803) and Al at (0.154, 0.250, 0.454).

The density of states at the Fermi level comes out at 2.2 states/eV/f.u. The calculation puts the formation energy at -185 meV/atom. As for the calculated total energy: -6.167 eV per atom. The volume comes out at 155.9 Å³ per cell.

---

The following is a GGA-PBEsol calculation of a relaxed Mn2Al crystal, from Alexandria via LeMat-Bulk.

It has space group Imma (No. 74), with a = 2.659 Å, b = 3.999 Å, c = 14.006 Å, α = 90.00°, β = 90.00° and γ = 90.00°. The inequivalent atoms are Mn at (0.000, 0.250, 0.036), Mn at (0.000, 0.250, 0.188) and Al at (0.000, 0.250, 0.635).

The density of states at the Fermi level comes out at 3.0 states/eV/f.u. The calculation puts the formation energy at 194 meV/atom. As for the calculated total energy: -7.677 eV per atom. The volume comes out at 149.0 Å³ per cell.

---

The following is a GGA-PBEsol calculation of a relaxed MnAl2 crystal, from Alexandria via LeMat-Bulk.

It has space group C2/m (No. 12), with a = 9.357 Å, b = 2.827 Å, c = 6.516 Å, α = 90.00°, β = 109.18° and γ = 90.00°. The inequivalent atoms are Mn at (0.181, 0.000, 0.147), Al at (0.038, 0.500, 0.822) and Al at (0.151, 0.000, 0.550).

The density of states at the Fermi level comes out at 1.5 states/eV/f.u. The calculation puts the formation energy at -103 meV/atom. As for the calculated total energy: -6.085 eV per atom. The volume comes out at 162.8 Å³ per cell.

---

The following is a GGA-PBEsol calculation of a relaxed Mn2Al5 crystal, from Alexandria via LeMat-Bulk.

It has space group P6_3/mmc (No. 194), with a = 7.5690 Å, b = 7.5690 Å, c = 7.9975 Å, α = 90.00°, β = 90.00° and γ = 120.00°. The inequivalent atoms are Mn at (0.1188, 0.2375, 0.2500), Mn at (0.3333, 0.6667, 0.7500), Al at (0.0000, 0.0000, 0.0000), Al at (0.0711, 0.5355, 0.2500) and Al at (0.1975, 0.3949, 0.5488).

The density of states at the Fermi level comes out at 3.3 states/eV/f.u. The calculation puts the formation energy at -207 meV/atom. As for the calculated total energy: -5.919 eV per atom. The volume comes out at 396.8 Å³ per cell.

---

The following is a GGA-PBEsol calculation of a relaxed MnAl2 crystal, from Alexandria via LeMat-Bulk.

It has space group C2/m (No. 12), with a = 10.199 Å, b = 2.734 Å, c = 6.157 Å, α = 90.00°, β = 105.46° and γ = 90.00°. The inequivalent atoms are Mn at (0.135, 0.000, 0.026), Al at (0.024, 0.500, 0.283) and Al at (0.202, 0.000, 0.665).

The density of states at the Fermi level comes out at 2.1 states/eV/f.u. The calculation puts the formation energy at -50 meV/atom. As for the calculated total energy: -6.032 eV per atom. The volume comes out at 165.4 Å³ per cell.

---

The following is a GGA-PBEsol calculation of a relaxed Mn5Al crystal, from Alexandria via LeMat-Bulk.

It has space group Cmmm (No. 65), with a = 2.772 Å, b = 11.952 Å, c = 3.975 Å, α = 90.00°, β = 90.00° and γ = 90.00°. The inequivalent atoms are Mn at (0.000, 0.000, 0.000), Mn at (0.000, 0.174, 0.500), Mn at (0.000, 0.338, 0.000) and Al at (0.000, 0.500, 0.500).

The density of states at the Fermi level comes out at 8.7 states/eV/f.u. The energy above the lowest structure with this stoichiometry comes out at 0.181 eV per formula unit. The calculation puts the formation energy at -3 meV/atom. As for the calculated total energy: -8.819 eV per atom. The volume comes out at 131.7 Å³ per cell.

---

The following is a GGA-PBEsol calculation of a relaxed MnAl12 crystal, from Alexandria via LeMat-Bulk.

It has space group Im-3 (No. 204), with a = 7.421 Å, b = 7.421 Å, c = 7.421 Å, α = 90.00°, β = 90.00° and γ = 90.00°. The inequivalent atoms are Mn at (0.000, 0.000, 0.000) and Al at (0.000, 0.305, 0.185).

The density of states at the Fermi level comes out at 3.3 states/eV/f.u. The calculation puts the formation energy at -90 meV/atom. As for the calculated total energy: -4.617 eV per atom. The volume comes out at 408.7 Å³ per cell.

---

The following is a GGA-PBEsol calculation of a relaxed MnAl2 crystal, from Alexandria via LeMat-Bulk.

It has space group P-3m1 (No. 164), with a = 4.1205 Å, b = 4.1205 Å, c = 2.6379 Å, α = 90.00°, β = 90.00° and γ = 120.00°. The inequivalent atoms are Mn at (0.0000, 0.0000, 0.0000) and Al at (0.3333, 0.6667, 0.6821).

The density of states at the Fermi level comes out at 2.6 states/eV/f.u. The calculation puts the formation energy at -53 meV/atom. As for the calculated total energy: -6.035 eV per atom. The volume comes out at 38.8 Å³ per cell.